Record 1
ZnAu2F8 | SCAN | single point on PBEsol structure

abc: 5.5197 5.4801 10.4331
angles: 90.00 100.18 90.00
Last column: nearest neighbours and their distance in Å.
Positions (direct):
1 Zn 0.0000 0.0000 0.5000  6 F 2.00-2.05
2 Zn 0.5000 0.5000 0.0000  6 F 2.00-2.05
3 Au 0.0324 0.7817 0.1690  4 F 1.91-1.96
4 Au 0.4676 0.2817 0.3310  4 F 1.91-1.96
5 Au 0.9676 0.2183 0.8310  4 F 1.91-1.96
6 Au 0.5324 0.7183 0.6690  4 F 1.91-1.96
7 F 0.8759 0.8758 0.3148  1 Au 1.95, 1 Zn 2.05
8 F 0.6241 0.3758 0.1852  1 Au 1.95, 1 Zn 2.05
9 F 0.1241 0.1242 0.6852  1 Au 1.95, 1 Zn 2.05
10 F 0.3759 0.6242 0.8148  1 Au 1.95, 1 Zn 2.05
11 F 0.6919 0.8099 0.5241  1 Au 1.95, 1 Zn 2.05
12 F 0.8081 0.3099 0.9759  1 Au 1.95, 1 Zn 2.05
13 F 0.2121 0.7074 0.5518  1 Au 1.96, 1 Zn 2.00
14 F 0.2879 0.2074 0.9482  1 Au 1.96, 1 Zn 2.00
15 F 0.7879 0.2926 0.4482  1 Au 1.96, 1 Zn 2.00
16 F 0.7121 0.7926 0.0518  1 Au 1.96, 1 Zn 2.00
17 F 0.8447 0.7202 0.7828  1 Au 1.91
18 F 0.6553 0.2202 0.7172  1 Au 1.91
19 F 0.1553 0.2798 0.2172  1 Au 1.91
20 F 0.3447 0.7798 0.2828  1 Au 1.91
21 F 0.1919 0.6901 0.0241  1 Au 1.95, 1 Zn 2.05
22 F 0.3081 0.1901 0.4759  1 Au 1.95, 1 Zn 2.05

N(E_F) ... 0.00 states/eV per atom
Energy relative to the elements, uncorrected ... -1.52 eV/atom
Space group ... P2_1/c, No. 14

Record 2
MnTl2Mo | SCAN | single point on PBEsol structure

abc: 4.1569 4.1569 5.1697
angles: 113.71 113.71 90.00
Last column: nearest neighbours and their distance in Å.
Positions (direct):
1 Mn 0.5000 0.5000 0.0000  4 Mo 2.94, 8 Tl 2.97
2 Mo 0.0000 0.0000 0.0000  4 Mn 2.94, 8 Tl 2.97
3 Tl 0.7500 0.2500 0.5000  4 Tl 2.94, 4 Mn 2.97, 4 Mo 2.97
4 Tl 0.2500 0.7500 0.5000  4 Tl 2.94, 4 Mn 2.97, 4 Mo 2.97

N(E_F) ... 0.56 states/eV per atom
Formation energy from the elements ... 0.572 eV per atom
Space group ... I4/mmm, No. 139